This record from Alexandria via LeMat-Bulk describes a relaxed structure of Er2FeSi3Ni12. The functional is GGA-PBE.

Cell lengths 8.8815, 8.8815, 8.8815 Å; angles 39.62, 39.62, 39.62 degrees
Fractional positions:
1 Er 0.1489 0.1489 0.1489
2 Er 0.8511 0.8511 0.8511
3 Fe 0.5000 0.5000 0.5000
4 Si 0.0000 0.5000 0.5000
5 Si 0.5000 0.0000 0.5000
6 Si 0.5000 0.5000 0.0000
7 Ni 0.0893 0.0893 0.6869
8 Ni 0.0893 0.6869 0.0893
9 Ni 0.1408 0.5748 0.5748
10 Ni 0.3131 0.9107 0.9107
11 Ni 0.4252 0.4252 0.8592
12 Ni 0.4252 0.8592 0.4252
13 Ni 0.5748 0.1408 0.5748
14 Ni 0.5748 0.5748 0.1408
15 Ni 0.6869 0.0893 0.0893
16 Ni 0.8592 0.4252 0.4252
17 Ni 0.9107 0.3131 0.9107
18 Ni 0.9107 0.9107 0.3131

- space group = R-3m
- uncorrected formation energy (eV/atom) = -0.07